[1]
LiZnB4 after structural relaxation, computed with PBE.

Properties
Polymorph energy (0 for the lowest one) (meV per atom): 0
Symmetry: Immm, No. 71
Calculated density (g/cm3): 3.61

a = 4.5334 Å, b = 4.5334 Å, c = 4.5334 Å
α = 141.14°, β = 110.23°, γ = 82.85°
With the nearest neighbours (Å) after each atom.
Positions (direct):
Li: 0.0000 0.0000 0.0000  12 B 2.40-2.45
Zn: 0.5000 0.5000 0.0000  12 B 2.40-2.46
B: 0.0774 0.7440 0.3334  3 B 1.73-1.74
B: 0.4106 0.7440 0.6666  3 B 1.73-1.74
B: 0.5894 0.2560 0.3334  3 B 1.73-1.74
B: 0.9226 0.2560 0.6666  3 B 1.73-1.74

[2]
InCuReTeSe2 after structural relaxation, computed with PBE.

Properties
Uncorrected energy (eV/cell): -57.4
Symmetry: Cmcm, No. 63
Calculated density (g/cm3): 8.00

a = 7.9564 Å, b = 7.9564 Å, c = 10.0116 Å
α = 90.00°, β = 90.00°, γ = 154.81°
With the nearest neighbours (Å) after each atom.
Positions (direct):
In: 0.2315 0.7685 0.7500  4 Se 3.24, 2 Cu 3.31, 2 Te 3.43, 2 In 3.47
In: 0.7685 0.2315 0.2500  4 Se 3.24, 2 Cu 3.31, 2 Te 3.43, 2 In 3.47
Cu: 0.4502 0.5498 0.2500  2 Se 2.37, 2 Te 2.63
Cu: 0.5498 0.4502 0.7500  2 Se 2.37, 2 Te 2.63
Re: 0.0000 0.0000 0.0000  4 Se 2.57, 2 Te 2.78
Re: 0.0000 0.0000 0.5000  4 Se 2.57, 2 Te 2.78
Te: 0.0778 0.9222 0.2500  2 Cu 2.63, 2 Re 2.78
Te: 0.9222 0.0778 0.7500  2 Cu 2.63, 2 Re 2.78
Se: 0.3804 0.6196 0.0392  1 Cu 2.37, 2 Re 2.57
Se: 0.3804 0.6196 0.4608  1 Cu 2.37, 2 Re 2.57
Se: 0.6196 0.3804 0.5392  1 Cu 2.37, 2 Re 2.57
Se: 0.6196 0.3804 0.9608  1 Cu 2.37, 2 Re 2.57

[3]
GdNiSn2 after structural relaxation, computed with PBE.

Properties
Polymorph energy (0 for the lowest one) (meV per atom): 63
Symmetry: Cmcm, No. 63
Calculated density (g/cm3): 8.41

a = 9.4768 Å, b = 9.4768 Å, c = 4.4856 Å
α = 90.00°, β = 90.00°, γ = 153.61°
With the nearest neighbours (Å) after each atom.
Positions (direct):
Gd: 0.1092 0.8908 0.7500  10 Sn 3.32-3.59, 4 Ni 3.37
Gd: 0.8908 0.1092 0.2500  10 Sn 3.32-3.59, 4 Ni 3.37
Ni: 0.3214 0.6786 0.7500  5 Sn 2.44-2.58
Ni: 0.6786 0.3214 0.2500  5 Sn 2.44-2.58
Sn: 0.2524 0.7476 0.2500  4 Ni 2.56-2.58
Sn: 0.4537 0.5463 0.7500  1 Ni 2.44
Sn: 0.5463 0.4537 0.2500  1 Ni 2.44
Sn: 0.7476 0.2524 0.7500  4 Ni 2.56-2.58

[4]
Cs2CuSnI6 after structural relaxation, computed with PBE.

Properties
Uncorrected energy (eV/cell): -26.8
Symmetry: C2/m, No. 12
Calculated density (g/cm3): 4.87

a = 8.3527 Å, b = 8.3527 Å, c = 8.3529 Å
α = 119.98°, β = 119.98°, γ = 60.02°
With the nearest neighbours (Å) after each atom.
Positions (direct):
Cs: 0.2497 0.2497 0.2501  12 I 4.16-4.20
Cs: 0.7503 0.7503 0.7499  12 I 4.16-4.20
Cu: 0.0000 0.0000 0.5000  6 I 2.84
Sn: 0.5000 0.5000 0.0000  6 I 3.06
I: 0.2398 0.7583 0.2585  1 Cu 2.84, 1 Sn 3.06
I: 0.2406 0.2406 0.7388  1 Cu 2.84, 1 Sn 3.06
I: 0.2417 0.7602 0.7415  1 Cu 2.84, 1 Sn 3.06
I: 0.7583 0.2398 0.2585  1 Cu 2.84, 1 Sn 3.06
I: 0.7594 0.7594 0.2612  1 Cu 2.84, 1 Sn 3.06
I: 0.7602 0.2417 0.7415  1 Cu 2.84, 1 Sn 3.06

[5]
Ba2InPd4Pb after structural relaxation, computed with PBE.

Properties
Uncorrected energy (eV/cell): -35.5
Symmetry: P-3m1, No. 164
Calculated density (g/cm3): 7.96

a = 4.7263 Å, b = 4.7263 Å, c = 11.0250 Å
α = 90.00°, β = 90.00°, γ = 120.00°
With the nearest neighbours (Å) after each atom.
Positions (direct):
Ba: 0.3333 0.6667 0.2510  8 Pd 3.22-3.55
Ba: 0.6667 0.3333 0.7490  8 Pd 3.22-3.55
In: 0.0000 0.0000 0.5000  6 Pd 2.77
Pd: 0.3333 0.6667 0.5435  3 In 2.77, 3 Pd 2.89
Pd: 0.3333 0.6667 0.9522  3 Pb 2.78, 3 Pd 2.93
Pd: 0.6667 0.3333 0.0478  3 Pb 2.78, 3 Pd 2.93
Pd: 0.6667 0.3333 0.4565  3 In 2.77, 3 Pd 2.89
Pb: 0.0000 0.0000 0.0000  6 Pd 2.78

[6]
RbTe2PdAuSe after structural relaxation, computed with PBE.

Properties
Uncorrected energy (eV/cell): -42.2
Symmetry: Cmcm, No. 63
Calculated density (g/cm3): 6.61

a = 8.1405 Å, b = 8.1405 Å, c = 11.1534 Å
α = 90.00°, β = 90.00°, γ = 150.58°
With the nearest neighbours (Å) after each atom.
Positions (direct):
Rb: 0.2404 0.7596 0.7500  2 Au 3.57, 2 Te 3.62, 2 Se 3.79
Rb: 0.7596 0.2404 0.2500  2 Au 3.57, 2 Te 3.62, 2 Se 3.79
Te: 0.1102 0.8898 0.0176  1 Au 2.65, 2 Pd 2.71
Te: 0.1102 0.8898 0.4824  1 Au 2.65, 2 Pd 2.71
Te: 0.8898 0.1102 0.5176  1 Au 2.65, 2 Pd 2.71
Te: 0.8898 0.1102 0.9824  1 Au 2.65, 2 Pd 2.71
Pd: 0.5000 0.5000 0.0000  4 Te 2.71, 2 Se 2.85
Pd: 0.5000 0.5000 0.5000  4 Te 2.71, 2 Se 2.85
Au: 0.0745 0.9255 0.2500  2 Te 2.65, 2 Se 2.73
Au: 0.9255 0.0745 0.7500  2 Te 2.65, 2 Se 2.73
Se: 0.4615 0.5385 0.2500  2 Au 2.73, 2 Pd 2.85
Se: 0.5385 0.4615 0.7500  2 Au 2.73, 2 Pd 2.85

[7]
Nb2Re2O5 after structural relaxation, computed with PBE.

Properties
Polymorph energy (0 for the lowest one) (meV per atom): 0
Symmetry: P4/mmm, No. 123
Calculated density (g/cm3): 10.82

a = 3.7287 Å, b = 3.7287 Å, c = 7.0482 Å
α = 90.00°, β = 90.00°, γ = 90.00°
With the nearest neighbours (Å) after each atom.
Positions (direct):
Nb: 0.0000 0.0000 0.0000  8 O 2.76, 8 Re 2.94
Nb: 0.0000 0.0000 0.5000  12 O 2.39-2.64
Re: 0.5000 0.5000 0.1846  5 O 2.00-2.22
Re: 0.5000 0.5000 0.8154  5 O 2.00-2.22
O: 0.0000 0.5000 0.2879  2 Re 2.00
O: 0.0000 0.5000 0.7121  2 Re 2.00
O: 0.5000 0.0000 0.2879  2 Re 2.00
O: 0.5000 0.0000 0.7121  2 Re 2.00
O: 0.5000 0.5000 0.5000  2 Re 2.22, 8 O 2.39

[8]
LiNb2AuS4 after structural relaxation, computed with PBE.

Properties
Uncorrected energy (eV/cell): -49.4
Symmetry: P-3m1, No. 164
Calculated density (g/cm3): 5.67

a = 3.3714 Å, b = 3.3714 Å, c = 15.4029 Å
α = 90.00°, β = 90.00°, γ = 120.00°
With the nearest neighbours (Å) after each atom.
Positions (direct):
Li: 0.0000 0.0000 0.0000  2 S 2.25
Nb: 0.3333 0.6667 0.7520  6 S 2.48-2.50
Nb: 0.6667 0.3333 0.2480  6 S 2.48-2.50
Au: 0.0000 0.0000 0.5000  2 S 2.34
S: 0.0000 0.0000 0.1464  1 Li 2.25, 3 Nb 2.50
S: 0.0000 0.0000 0.3480  1 Au 2.34, 3 Nb 2.48
S: 0.0000 0.0000 0.6520  1 Au 2.34, 3 Nb 2.48
S: 0.0000 0.0000 0.8536  1 Li 2.25, 3 Nb 2.50

[9]
LaErFe after structural relaxation, computed with PBE.

Properties
E_form (eV per atom): 0.202
Symmetry: F-43m, No. 216
Calculated density (g/cm3): 7.97

a = 4.7416 Å, b = 4.7416 Å, c = 4.7416 Å
α = 60.00°, β = 60.00°, γ = 60.00°
With the nearest neighbours (Å) after each atom.
Positions (direct):
La: 0.0000 0.0000 0.0000  4 Fe 2.90
Er: 0.5000 0.5000 0.5000  4 Fe 2.90
Fe: 0.7500 0.7500 0.7500  4 La 2.90, 4 Er 2.90

[10]
AcNpTe after structural relaxation, computed with PBE.

Properties
Polymorph energy (0 for the lowest one) (meV per atom): 0
Symmetry: F-43m, No. 216
Calculated density (g/cm3): 8.98

a = 5.3691 Å, b = 5.3691 Å, c = 5.3691 Å
α = 60.00°, β = 60.00°, γ = 60.00°
With the nearest neighbours (Å) after each atom.
Positions (direct):
Ac: 0.0000 0.0000 0.0000  4 Te 3.29
Np: 0.5000 0.5000 0.5000  4 Te 3.29
Te: 0.2500 0.2500 0.2500  4 Ac 3.29, 4 Np 3.29

[11]
Cu9Hg after structural relaxation, computed with PBE.

Properties
Polymorph energy (0 for the lowest one) (meV per atom): 0
E_form (eV per atom): 0.068
Symmetry: Pmmn, No. 59
Calculated density (g/cm3): 7.34

a = 2.6278 Å, b = 3.4864 Å, c = 38.1707 Å
α = 90.00°, β = 90.00°, γ = 90.00°
With the nearest neighbours (Å) after each atom.
Positions (direct):
Cu: 0.2500 0.2500 0.0168  12 Cu 2.53-2.63
Cu: 0.2500 0.2500 0.0840  12 Cu 2.53-2.63
Cu: 0.2500 0.2500 0.1513  12 Cu 2.53-2.63
Cu: 0.2500 0.2500 0.2189  12 Cu 2.53-2.63
Cu: 0.2500 0.2500 0.2862  7 Cu 2.53-2.63
Cu: 0.2500 0.2500 0.7474  11 Cu 2.53-2.63
Cu: 0.2500 0.2500 0.8150  12 Cu 2.53-2.63
Cu: 0.2500 0.2500 0.8823  12 Cu 2.53-2.63
Cu: 0.2500 0.2500 0.9495  12 Cu 2.53-2.63
Cu: 0.7500 0.7500 0.0505  12 Cu 2.53-2.63
Cu: 0.7500 0.7500 0.1177  12 Cu 2.53-2.63
Cu: 0.7500 0.7500 0.1850  12 Cu 2.53-2.63
Cu: 0.7500 0.7500 0.2526  11 Cu 2.53-2.63
Cu: 0.7500 0.7500 0.7138  7 Cu 2.53-2.63
Cu: 0.7500 0.7500 0.7811  12 Cu 2.53-2.63
Cu: 0.7500 0.7500 0.8487  12 Cu 2.53-2.63
Cu: 0.7500 0.7500 0.9160  12 Cu 2.53-2.63
Cu: 0.7500 0.7500 0.9832  12 Cu 2.53-2.63
Hg: 0.2500 0.2500 0.6637  2 Hg 2.63, 4 Cu 2.90
Hg: 0.7500 0.7500 0.3363  2 Hg 2.63, 4 Cu 2.90